The following is a PBE calculation of a relaxed structure of AcNbZnO5, from the Alexandria database.

Values from the calculation:
* calculated volume: 117 Å³/f.u.
* E_form (uncorrected): -2.612 eV per atom
* raw total energy: -7.643 eV per atom
* total moment: 0.000 μB per cell

Lattice parameters (Å, degrees): 5.905 5.905 7.635 102.95 102.95 108.15
Atoms (fractional coordinates):
Ac1 0.169 0.831 0.750
Ac2 0.831 0.169 0.250
Nb1 0.500 0.500 0.000
Nb2 0.500 0.500 0.500
Zn1 0.186 0.814 0.250
Zn2 0.814 0.186 0.750
O1 0.148 0.247 0.921
O2 0.203 0.601 0.412
O3 0.247 0.148 0.421
O4 0.399 0.797 0.088
O5 0.437 0.563 0.750
O6 0.563 0.437 0.250
O7 0.601 0.203 0.912
O8 0.753 0.852 0.579
O9 0.797 0.399 0.588
O10 0.852 0.753 0.079